(1)
{
  "formula": "Ta2GaAs2",
  "functional": "PBE-GGA",
  "state": "optimized geometry",
  "crystal_system": "tetragonal",
  "de_polymorph_mev_per_atom": 260,
  "lattice_angstrom": [[-2.0093, 2.0093, 6.6092], [2.0093, -2.0093, 6.6092], [2.0093, 2.0093, -6.6092]],
  "species": ["Ta", "Ta", "Ga", "As", "As"],
  "frac_coords": [[0.2500, 0.7500, 0.5000], [0.7500, 0.2500, 0.5000], [0.0000, 0.0000, 0.0000], [0.3835, 0.3835, 0.0000], [0.6165, 0.6165, 0.0000]]
}



(2)
{
  "formula": "CsY2Br7",
  "functional": "PBE-GGA",
  "state": "optimized geometry",
  "crystal_system": "orthorhombic",
  "formation_energy_uncorrected_ev_per_atom": -1.84,
  "lattice_angstrom": [[4.5080, -7.3310, 0.0000], [4.5080, 7.3310, 0.0000], [0.0000, 0.0000, 5.6364]],
  "species": ["Cs", "Y", "Y", "Br", "Br", "Br", "Br", "Br", "Br", "Br"],
  "frac_coords": [[0.0000, 0.0000, 0.0000], [0.3030, 0.6970, 0.5000], [0.6970, 0.3030, 0.5000], [0.0474, 0.3288, 0.5000], [0.2974, 0.7026, 0.0000], [0.3288, 0.0474, 0.5000], [0.5000, 0.5000, 0.5000], [0.6712, 0.9526, 0.5000], [0.7026, 0.2974, 0.0000], [0.9526, 0.6712, 0.5000]]
}



(3)
{
  "formula": "Cs2Ac2TlO6",
  "functional": "PBE-GGA",
  "state": "optimized geometry",
  "crystal_system": "monoclinic",
  "formation_energy_uncorrected_ev_per_atom": -1.91,
  "lattice_angstrom": [[3.1806, -5.9737, 0.0000], [3.1806, 5.9737, 0.0000], [-1.4742, 0.0000, 7.0895]],
  "species": ["Cs", "Cs", "Ac", "Ac", "Tl", "O", "O", "O", "O", "O", "O"],
  "frac_coords": [[0.1558, 0.8442, 0.0000], [0.8442, 0.1558, 0.0000], [0.3334, 0.6666, 0.5000], [0.6666, 0.3334, 0.5000], [0.0000, 0.0000, 0.5000], [0.0415, 0.4017, 0.6786], [0.2445, 0.2445, 0.3489], [0.4017, 0.0415, 0.6786], [0.5983, 0.9585, 0.3214], [0.7555, 0.7555, 0.6511], [0.9585, 0.5983, 0.3214]]
}



(4)
{
  "formula": "AcNdC2O8",
  "functional": "PBE-GGA",
  "state": "optimized geometry",
  "crystal_system": "trigonal",
  "formation_energy_uncorrected_ev_per_atom": -1.99,
  "lattice_angstrom": [[2.4637, 1.4224, 6.6003], [-2.4637, 1.4224, 6.6003], [0.0000, -2.8448, 6.6003]],
  "species": ["Ac", "Nd", "C", "C", "O", "O", "O", "O", "O", "O", "O", "O"],
  "frac_coords": [[0.0000, 0.0000, 0.0000], [0.5000, 0.5000, 0.5000], [0.2411, 0.2411, 0.2411], [0.7589, 0.7589, 0.7589], [0.0413, 0.5832, 0.5832], [0.1701, 0.1701, 0.1701], [0.4168, 0.4168, 0.9587], [0.4168, 0.9587, 0.4168], [0.5832, 0.0413, 0.5832], [0.5832, 0.5832, 0.0413], [0.8299, 0.8299, 0.8299], [0.9587, 0.4168, 0.4168]]
}